Density functional theory data (PBE) for Tb4PrTl5 after structural relaxation.

Cell lengths 3.8014, 3.8014, 19.4752 Å; angles 90.00, 90.00, 90.00 degrees
Sites, in units of the cell vectors:
Tb (0.0000, 0.0000, 0.2056)
Tb (0.0000, 0.0000, 0.4019)
Tb (0.0000, 0.0000, 0.7944)
Tb (0.0000, 0.0000, 0.5981)
Tl (0.5000, 0.5000, 0.3042)
Tl (0.5000, 0.5000, 0.5000)
Tl (0.5000, 0.5000, 0.1080)
Tl (0.5000, 0.5000, 0.6958)
Tl (0.5000, 0.5000, 0.8920)
Pr (0.0000, 0.0000, 0.0000)

Summary:
Total magnetic moment ... 0.00 μB/f.u.
Density of states at the Fermi level ... 8.22 states/eV/f.u.
Calculated total energy ... -38.77 eV per cell


Density functional theory data (PBE) for RbCaIn3 after structural relaxation.

Cell lengths 6.1074, 6.1074, 6.1074 Å; angles 90.00, 90.00, 90.00 degrees
Sites, in units of the cell vectors:
Ca (0.5000, 0.5000, 0.5000)
In (0.0000, 0.5000, 0.0000)
In (0.0000, 0.0000, 0.5000)
In (0.5000, 0.0000, 0.0000)
Rb (0.0000, 0.0000, 0.0000)

Summary:
Total magnetic moment ... 0.00 μB/f.u.
Density of states at the Fermi level ... 5.88 states/eV/f.u.
Calculated total energy ... -7.55 eV per cell


Density functional theory data (PBE) for LaPuP after structural relaxation.

Cell lengths 4.9892, 4.9919, 6.5271 Å; angles 90.00, 90.00, 119.98 degrees
Sites, in units of the cell vectors:
Pu (0.3332, 0.6664, 0.2500)
Pu (0.6668, 0.3336, 0.7500)
La (0.0000, 0.0000, 0.5000)
La (0.0000, 0.0000, 0.0000)
P (0.6665, 0.3329, 0.2500)
P (0.3335, 0.6671, 0.7500)

Summary:
Total magnetic moment ... 6.62 μB/f.u.
Density of states at the Fermi level ... 5.34 states/eV/f.u.
Calculated total energy ... -53.47 eV per cell


Density functional theory data (PBE) for LiPmPd2 after structural relaxation.

Cell lengths 4.8012, 4.8012, 4.8012 Å; angles 60.00, 60.00, 60.00 degrees
Sites, in units of the cell vectors:
Pd (0.2500, 0.2500, 0.2500)
Pd (0.7500, 0.7500, 0.7500)
Pm (0.0000, 0.0000, 0.0000)
Li (0.5000, 0.5000, 0.5000)

Summary:
Total magnetic moment ... 0.00 μB/f.u.
Density of states at the Fermi level ... 3.09 states/eV/f.u.
Calculated total energy ... -19.41 eV per cell